# PBE Nb2BiO6, relaxed
data_Nb2BiO6
_symmetry_space_group_name_H-M 'P 1'
_symmetry_Int_Tables_number 1
_symmetry_space_group_name_Hall 'P 1'
_cell_length_a 3.932
_cell_length_b 5.484
_cell_length_c 7.147
_cell_angle_alpha 69.83
_cell_angle_beta 74.03
_cell_angle_gamma 68.99
loop_
_atom_site_label
_atom_site_type_symbol
_atom_site_fract_x
_atom_site_fract_y
_atom_site_fract_z
_atom_site_occupancy
Nb1 Nb 0.179 0.761 0.882 1
Nb2 Nb 0.821 0.239 0.118 1
Bi1 Bi 0.000 0.500 0.500 1
O1 O 0.710 0.661 0.920 1
O2 O 0.290 0.339 0.080 1
O3 O 0.979 0.853 0.189 1
O4 O 0.345 0.688 0.622 1
O5 O 0.021 0.147 0.811 1
O6 O 0.655 0.312 0.378 1
# **Space group**: No. 12
# **Raw formation energy**: -207.7 kJ/mol of atoms
# **Offset from the most stable computed form**: 0 meV per atom

***

# PBE NbBi2O5, relaxed
data_NbBi2O5
_symmetry_space_group_name_H-M 'P 1'
_symmetry_Int_Tables_number 1
_symmetry_space_group_name_Hall 'P 1'
_cell_length_a 6.405
_cell_length_b 5.821
_cell_length_c 5.987
_cell_angle_alpha 111.36
_cell_angle_beta 123.05
_cell_angle_gamma 93.33
loop_
_atom_site_label
_atom_site_type_symbol
_atom_site_fract_x
_atom_site_fract_y
_atom_site_fract_z
_atom_site_occupancy
Nb1 Nb 0.969 0.003 0.968 1
Bi1 Bi 0.225 0.656 0.350 1
Bi2 Bi 0.611 0.056 0.217 1
O1 O 0.886 0.301 0.151 1
O2 O 0.283 0.279 0.129 1
O3 O 0.885 0.833 0.155 1
O4 O 0.217 0.782 0.032 1
O5 O 0.701 0.867 0.553 1
# **Space group**: No. 1
# **Raw formation energy**: -154.3 kJ/mol of atoms
# **Offset from the most stable computed form**: 55 meV per atom

***

# PBE Nb3Bi5O15, relaxed
data_Nb3Bi5O15
_symmetry_space_group_name_H-M 'P 1'
_symmetry_Int_Tables_number 1
_symmetry_space_group_name_Hall 'P 1'
_cell_length_a 5.541
_cell_length_b 5.655
_cell_length_c 22.165
_cell_angle_alpha 90.00
_cell_angle_beta 90.00
_cell_angle_gamma 90.00
loop_
_atom_site_label
_atom_site_type_symbol
_atom_site_fract_x
_atom_site_fract_y
_atom_site_fract_z
_atom_site_occupancy
Nb1 Nb 0.000 0.486 0.500 1
Nb2 Nb 0.999 0.942 0.107 1
Nb3 Nb 0.001 0.942 0.893 1
Nb4 Nb 0.500 0.986 0.500 1
Nb5 Nb 0.499 0.442 0.893 1
Nb6 Nb 0.501 0.442 0.107 1
Bi1 Bi 0.988 0.519 0.260 1
Bi2 Bi 0.022 0.054 0.377 1
Bi3 Bi 0.978 0.054 0.623 1
Bi4 Bi 0.512 0.019 0.260 1
Bi5 Bi 0.478 0.554 0.377 1
Bi6 Bi 0.012 0.519 0.740 1
Bi7 Bi 0.488 0.019 0.740 1
Bi8 Bi 0.522 0.554 0.623 1
Bi9 Bi 0.500 0.027 0.000 1
Bi10 Bi 0.000 0.527 0.000 1
O1 O 0.251 0.693 0.523 1
O2 O 0.256 0.759 0.689 1
O3 O 0.259 0.165 0.914 1
O4 O 0.000 0.905 0.000 1
O5 O 0.393 0.918 0.415 1
O6 O 0.741 0.165 0.086 1
O7 O 0.270 0.154 0.089 1
O8 O 0.770 0.654 0.911 1
O9 O 0.244 0.259 0.689 1
O10 O 0.107 0.418 0.415 1
O11 O 0.607 0.918 0.585 1
O12 O 0.987 0.934 0.188 1
O13 O 0.013 0.934 0.812 1
O14 O 0.893 0.418 0.585 1
O15 O 0.749 0.693 0.477 1
O16 O 0.744 0.759 0.311 1
O17 O 0.230 0.654 0.089 1
O18 O 0.756 0.259 0.311 1
O19 O 0.487 0.434 0.812 1
O20 O 0.751 0.747 0.692 1
O21 O 0.241 0.665 0.914 1
O22 O 0.249 0.747 0.308 1
O23 O 0.500 0.405 0.000 1
O24 O 0.749 0.247 0.692 1
O25 O 0.751 0.193 0.477 1
O26 O 0.730 0.154 0.911 1
O27 O 0.251 0.247 0.308 1
O28 O 0.249 0.193 0.523 1
O29 O 0.513 0.434 0.188 1
O30 O 0.759 0.665 0.086 1
# **Space group**: No. 30
# **Raw formation energy**: -179.8 kJ/mol of atoms

***

# PBE Nb2BiO6, relaxed
data_Nb2BiO6
_symmetry_space_group_name_H-M 'P 1'
_symmetry_Int_Tables_number 1
_symmetry_space_group_name_Hall 'P 1'
_cell_length_a 5.158
_cell_length_b 5.324
_cell_length_c 5.324
_cell_angle_alpha 120.00
_cell_angle_beta 90.00
_cell_angle_gamma 90.00
loop_
_atom_site_label
_atom_site_type_symbol
_atom_site_fract_x
_atom_site_fract_y
_atom_site_fract_z
_atom_site_occupancy
Nb1 Nb 0.500 0.667 0.333 1
Nb2 Nb 0.500 0.333 0.667 1
Bi1 Bi 0.000 0.000 0.000 1
O1 O 0.719 0.640 0.640 1
O2 O 0.281 0.640 0.000 1
O3 O 0.281 0.000 0.640 1
O4 O 0.719 0.360 0.000 1
O5 O 0.281 0.360 0.360 1
O6 O 0.719 0.000 0.360 1
# **Space group**: No. 162
# **Raw formation energy**: -207.1 kJ/mol of atoms
# **Offset from the most stable computed form**: 6 meV per atom

***

# PBE NbBi2O6, relaxed
data_NbBi2O6
_symmetry_space_group_name_H-M 'P 1'
_symmetry_Int_Tables_number 1
_symmetry_space_group_name_Hall 'P 1'
_cell_length_a 4.264
_cell_length_b 4.264
_cell_length_c 8.358
_cell_angle_alpha 104.78
_cell_angle_beta 104.78
_cell_angle_gamma 90.00
loop_
_atom_site_label
_atom_site_type_symbol
_atom_site_fract_x
_atom_site_fract_y
_atom_site_fract_z
_atom_site_occupancy
Nb1 Nb 0.500 0.500 0.000 1
Bi1 Bi 0.178 0.178 0.357 1
Bi2 Bi 0.822 0.822 0.643 1
O1 O 0.818 0.330 0.149 1
O2 O 0.670 0.670 0.851 1
O3 O 0.330 0.818 0.149 1
O4 O 0.182 0.182 0.851 1
O5 O 0.750 0.250 0.500 1
O6 O 0.250 0.750 0.500 1
# **Space group**: No. 121
# **Raw formation energy**: -145.5 kJ/mol of atoms

***

# PBE Nb6Bi4O19, relaxed
data_Nb6Bi4O19
_symmetry_space_group_name_H-M 'P 1'
_symmetry_Int_Tables_number 1
_symmetry_space_group_name_Hall 'P 1'
_cell_length_a 8.084
_cell_length_b 8.084
_cell_length_c 8.084
_cell_angle_alpha 109.47
_cell_angle_beta 109.47
_cell_angle_gamma 109.47
loop_
_atom_site_label
_atom_site_type_symbol
_atom_site_fract_x
_atom_site_fract_y
_atom_site_fract_z
_atom_site_occupancy
Nb1 Nb 0.347 0.500 0.847 1
Nb2 Nb 0.653 0.500 0.153 1
Nb3 Nb 0.153 0.653 0.500 1
Nb4 Nb 0.847 0.347 0.500 1
Nb5 Nb 0.500 0.847 0.347 1
Nb6 Nb 0.500 0.153 0.653 1
Bi1 Bi 0.000 0.000 0.708 1
Bi2 Bi 0.000 0.708 0.000 1
Bi3 Bi 0.292 0.292 0.292 1
Bi4 Bi 0.708 0.000 0.000 1
O1 O 0.663 0.000 0.663 1
O2 O 0.337 0.000 0.337 1
O3 O 0.337 0.337 0.000 1
O4 O 0.663 0.663 0.000 1
O5 O 0.000 0.663 0.663 1
O6 O 0.000 0.337 0.337 1
O7 O 0.000 0.000 0.000 1
O8 O 0.370 0.328 0.616 1
O9 O 0.630 0.246 0.958 1
O10 O 0.712 0.754 0.384 1
O11 O 0.958 0.630 0.246 1
O12 O 0.288 0.672 0.042 1
O13 O 0.616 0.370 0.328 1
O14 O 0.042 0.288 0.672 1
O15 O 0.384 0.712 0.754 1
O16 O 0.672 0.042 0.288 1
O17 O 0.246 0.958 0.630 1
O18 O 0.328 0.616 0.370 1
O19 O 0.754 0.384 0.712 1
# **Space group**: No. 197
# **Raw formation energy**: -191.4 kJ/mol of atoms

***

# PBE NbBi3O, relaxed
data_NbBi3O
_symmetry_space_group_name_H-M 'P 1'
_symmetry_Int_Tables_number 1
_symmetry_space_group_name_Hall 'P 1'
_cell_length_a 4.882
_cell_length_b 4.882
_cell_length_c 4.882
_cell_angle_alpha 90.00
_cell_angle_beta 90.00
_cell_angle_gamma 90.00
loop_
_atom_site_label
_atom_site_type_symbol
_atom_site_fract_x
_atom_site_fract_y
_atom_site_fract_z
_atom_site_occupancy
Nb1 Nb 0.500 0.500 0.500 1
Bi1 Bi 0.000 0.500 0.000 1
Bi2 Bi 0.000 0.000 0.500 1
Bi3 Bi 0.500 0.000 0.000 1
O1 O 0.000 0.000 0.000 1
# **Space group**: No. 221
# **Raw formation energy**: 13.8 kJ/mol of atoms

***

# PBE NbBi2O6, relaxed
data_NbBi2O6
_symmetry_space_group_name_H-M 'P 1'
_symmetry_Int_Tables_number 1
_symmetry_space_group_name_Hall 'P 1'
_cell_length_a 5.727
_cell_length_b 5.494
_cell_length_c 9.318
_cell_angle_alpha 90.00
_cell_angle_beta 90.00
_cell_angle_gamma 90.00
loop_
_atom_site_label
_atom_site_type_symbol
_atom_site_fract_x
_atom_site_fract_y
_atom_site_fract_z
_atom_site_occupancy
Nb1 Nb 0.500 0.500 0.000 1
Nb2 Nb 0.000 0.000 0.500 1
Bi1 Bi 0.000 0.500 0.803 1
Bi2 Bi 0.500 0.000 0.697 1
Bi3 Bi 0.500 0.000 0.303 1
Bi4 Bi 0.000 0.500 0.197 1
O1 O 0.850 0.793 0.342 1
O2 O 0.850 0.792 0.657 1
O3 O 0.802 0.680 0.000 1
O4 O 0.698 0.180 0.500 1
O5 O 0.650 0.292 0.843 1
O6 O 0.650 0.293 0.158 1
O7 O 0.150 0.207 0.658 1
O8 O 0.150 0.208 0.343 1
O9 O 0.198 0.320 0.000 1
O10 O 0.302 0.820 0.500 1
O11 O 0.350 0.708 0.157 1
O12 O 0.350 0.707 0.842 1
# **Space group**: No. 58
# **Raw formation energy**: -156.2 kJ/mol of atoms

***

# PBE NbBiO4, relaxed
data_NbBiO4
_symmetry_space_group_name_H-M 'P 1'
_symmetry_Int_Tables_number 1
_symmetry_space_group_name_Hall 'P 1'
_cell_length_a 3.951
_cell_length_b 5.731
_cell_length_c 8.000
_cell_angle_alpha 90.00
_cell_angle_beta 104.30
_cell_angle_gamma 90.00
loop_
_atom_site_label
_atom_site_type_symbol
_atom_site_fract_x
_atom_site_fract_y
_atom_site_fract_z
_atom_site_occupancy
Nb1 Nb 0.582 0.790 0.165 1
Nb2 Nb 0.418 0.290 0.835 1
Bi1 Bi 0.805 0.839 0.610 1
Bi2 Bi 0.195 0.339 0.390 1
O1 O 0.906 0.242 0.811 1
O2 O 0.094 0.742 0.189 1
O3 O 0.484 0.976 0.968 1
O4 O 0.516 0.476 0.032 1
O5 O 0.699 0.557 0.398 1
O6 O 0.301 0.057 0.602 1
O7 O 0.675 0.029 0.349 1
O8 O 0.325 0.529 0.651 1
# **Space group**: No. 36
# **Raw formation energy**: -197.1 kJ/mol of atoms

***

# PBE NbBi7O13, relaxed
data_NbBi7O13
_symmetry_space_group_name_H-M 'P 1'
_symmetry_Int_Tables_number 1
_symmetry_space_group_name_Hall 'P 1'
_cell_length_a 4.337
_cell_length_b 3.681
_cell_length_c 22.934
_cell_angle_alpha 92.58
_cell_angle_beta 92.77
_cell_angle_gamma 90.80
loop_
_atom_site_label
_atom_site_type_symbol
_atom_site_fract_x
_atom_site_fract_y
_atom_site_fract_z
_atom_site_occupancy
Nb1 Nb 0.550 0.346 0.880 1
Bi1 Bi 0.911 0.048 0.994 1
Bi2 Bi 0.536 0.580 0.136 1
Bi3 Bi 0.877 0.123 0.266 1
Bi4 Bi 0.472 0.657 0.405 1
Bi5 Bi 0.926 0.169 0.514 1
Bi6 Bi 0.560 0.394 0.646 1
Bi7 Bi 0.068 0.884 0.755 1
O1 O 0.795 0.092 0.160 1
O2 O 0.769 0.562 0.056 1
O3 O 0.621 0.611 0.240 1
O4 O 0.631 0.141 0.344 1
O5 O 0.935 0.682 0.449 1
O6 O 0.464 0.173 0.469 1
O7 O 0.756 0.745 0.578 1
O8 O 0.017 0.374 0.691 1
O9 O 0.533 0.861 0.710 1
O10 O 0.688 0.918 0.845 1
O11 O 0.224 0.419 0.823 1
O12 O 0.906 0.532 0.932 1
O13 O 0.428 0.091 0.948 1
# **Space group**: No. 1
# **Raw formation energy**: -130.7 kJ/mol of atoms